1.
Ac5Pt4Rh (PBE, optimized geometry); energy of formation = -1.06 eV per atom; SG = No. 71; VASP energy = -62.63 eV per formula unit
1.0
0.077 3.105 -3.076
2.981 -3.847 -3.808
-11.096 -3.220 -0.420
Ac Pt Rh
5 4 1
direct
0.404 0.904 0.807 Ac
0.596 0.096 0.193 Ac
0.201 0.701 0.402 Ac
0.799 0.299 0.598 Ac
0.000 0.500 0.000 Ac
0.399 0.399 0.799 Pt
0.601 0.601 0.201 Pt
0.801 0.801 0.602 Pt
0.199 0.199 0.398 Pt
0.000 0.000 0.000 Rh


2.
Ac6Pt5Rh (PBE, optimized geometry); energy of formation = -1.08 eV per atom; SG = No. 12; VASP energy = -75.13 eV per formula unit
1.0
-1.511 -0.582 -7.389
-4.846 -2.815 5.081
-1.314 7.414 0.976
Pt Ac Rh
5 6 1
direct
0.500 0.500 0.500 Pt
0.667 0.333 0.000 Pt
0.333 0.667 0.000 Pt
0.169 0.831 0.500 Pt
0.831 0.169 0.500 Pt
0.410 0.082 0.247 Ac
0.245 0.245 0.751 Ac
0.918 0.590 0.753 Ac
0.590 0.918 0.753 Ac
0.082 0.410 0.247 Ac
0.755 0.755 0.249 Ac
0.000 0.000 0.000 Rh


3.
AcPtRh (PBE, optimized geometry); energy of formation = -0.84 eV per atom; energy relative to the lowest polymorph listed for this composition = 0.000 eV/atom; SG = No. 187; VASP energy = -20.02 eV per formula unit
1.0
-1.335 0.160 -3.980
0.813 -4.351 -0.448
-3.991 1.385 1.395
Rh Ac Pt
1 1 1
direct
0.167 0.000 0.000 Rh
0.667 0.667 0.333 Ac
0.167 0.333 0.667 Pt


4.
Ac6Pt3Rh (PBE, optimized geometry); energy of formation = -0.86 eV per atom; SG = No. 11; VASP energy = -58.70 eV per formula unit
1.0
4.330 0.000 0.000
0.000 12.811 -4.054
0.000 -1.130 12.643
Pt Ac Rh
6 12 2
direct
0.750 0.432 0.836 Pt
0.750 0.162 0.078 Pt
0.250 0.269 0.505 Pt
0.250 0.838 0.922 Pt
0.250 0.568 0.164 Pt
0.750 0.731 0.495 Pt
0.250 0.251 0.736 Ac
0.750 0.432 0.597 Ac
0.250 0.236 0.254 Ac
0.750 0.764 0.746 Ac
0.750 0.090 0.443 Ac
0.250 0.568 0.403 Ac
0.750 0.940 0.103 Ac
0.750 0.749 0.264 Ac
0.250 0.060 0.897 Ac
0.750 0.399 0.065 Ac
0.250 0.601 0.935 Ac
0.250 0.910 0.557 Ac
0.750 0.070 0.690 Rh
0.250 0.930 0.310 Rh


5.
AcPtRh2 (PBE, optimized geometry); energy of formation = -0.38 eV per atom; SG = No. 123; VASP energy = -26.36 eV per formula unit
1.0
-1.186 -2.661 -2.925
4.054 -0.202 -1.461
0.798 -3.292 2.671
Pt Rh Ac
1 2 1
direct
0.500 0.000 0.000 Pt
0.000 0.000 0.500 Rh
0.000 0.500 0.000 Rh
0.500 0.500 0.500 Ac


6.
Ac16Pt5Rh3 (PBE, optimized geometry); energy of formation = -0.71 eV per atom; SG = No. 8; VASP energy = -134.95 eV per formula unit
1.0
8.734 0.075 0.025
4.328 7.587 0.025
-0.040 -0.023 14.102
Ac Rh Pt
16 3 5
direct
0.495 0.019 0.162 Ac
0.164 0.164 0.906 Ac
0.514 0.982 0.659 Ac
0.490 0.490 0.161 Ac
0.997 0.997 0.667 Ac
0.831 0.324 0.404 Ac
0.324 0.831 0.404 Ac
0.019 0.495 0.162 Ac
0.509 0.509 0.660 Ac
0.982 0.514 0.659 Ac
0.839 0.839 0.404 Ac
0.337 0.337 0.401 Ac
0.676 0.157 0.905 Ac
0.672 0.672 0.902 Ac
0.997 0.997 0.169 Ac
0.157 0.676 0.905 Ac
0.167 0.666 0.283 Rh
0.834 0.834 0.782 Rh
0.666 0.167 0.283 Rh
0.166 0.166 0.286 Pt
0.333 0.333 0.026 Pt
0.666 0.666 0.525 Pt
0.834 0.334 0.785 Pt
0.334 0.834 0.785 Pt


7.
Ac8PtRh6 (PBE, optimized geometry); energy of formation = -0.60 eV per atom; SG = No. 147; VASP energy = -92.04 eV per formula unit
1.0
4.619 0.000 0.000
0.000 8.967 -5.177
0.000 0.000 10.354
Ac Rh Pt
8 6 1
direct
0.748 0.333 0.667 Ac
0.749 0.314 0.051 Ac
0.251 0.686 0.949 Ac
0.252 0.667 0.333 Ac
0.749 0.949 0.263 Ac
0.251 0.051 0.737 Ac
0.749 0.737 0.686 Ac
0.251 0.263 0.314 Ac
0.749 0.615 0.080 Rh
0.251 0.080 0.466 Rh
0.251 0.385 0.920 Rh
0.251 0.534 0.615 Rh
0.749 0.920 0.534 Rh
0.749 0.466 0.385 Rh
0.500 0.000 0.000 Pt


8.
Ac6PtRh3 (PBE, optimized geometry); energy of formation = -0.71 eV per atom; SG = No. 11; VASP energy = -59.83 eV per formula unit
1.0
-3.329 1.866 1.978
0.288 -9.389 9.341
7.164 9.731 2.879
Rh Ac Pt
6 12 2
direct
0.750 0.439 0.834 Rh
0.250 0.838 0.917 Rh
0.250 0.274 0.503 Rh
0.750 0.726 0.497 Rh
0.750 0.162 0.083 Rh
0.250 0.561 0.166 Rh
0.750 0.434 0.596 Ac
0.250 0.603 0.937 Ac
0.250 0.264 0.742 Ac
0.750 0.397 0.063 Ac
0.250 0.062 0.900 Ac
0.750 0.100 0.448 Ac
0.750 0.762 0.748 Ac
0.750 0.938 0.100 Ac
0.250 0.900 0.552 Ac
0.250 0.566 0.404 Ac
0.250 0.238 0.252 Ac
0.750 0.736 0.258 Ac
0.750 0.072 0.694 Pt
0.250 0.928 0.306 Pt


9.
Ac8Pt5Rh (PBE, optimized geometry); energy of formation = -0.96 eV per atom; SG = No. 82; VASP energy = -83.84 eV per formula unit
1.0
7.761 0.000 -2.664
-3.874 6.682 -2.771
-0.012 0.000 8.206
Ac Pt Rh
8 5 1
direct
0.013 0.141 0.760 Ac
0.625 0.367 0.875 Ac
0.240 0.253 0.381 Ac
0.125 0.750 0.492 Ac
0.742 0.250 0.375 Ac
0.619 0.859 0.872 Ac
0.508 0.633 0.258 Ac
0.128 0.747 0.987 Ac
0.376 0.129 0.003 Pt
0.874 0.871 0.247 Pt
0.997 0.373 0.126 Pt
0.500 0.000 0.500 Pt
0.753 0.627 0.624 Pt
0.250 0.500 0.750 Rh


10.
Ac9Pt2Rh4 (PBE, optimized geometry); energy of formation = -0.73 eV per atom; SG = No. 165; VASP energy = -89.40 eV per formula unit
1.0
7.513 0.001 0.016
3.756 6.507 0.042
-0.045 -0.108 20.974
Ac Rh Pt
18 8 4
direct
0.348 0.989 0.918 Ac
0.000 0.329 0.750 Ac
0.329 0.671 0.750 Ac
0.989 0.663 0.918 Ac
0.000 0.671 0.250 Ac
0.652 0.011 0.082 Ac
0.671 0.329 0.250 Ac
0.348 0.663 0.418 Ac
0.652 0.337 0.582 Ac
0.671 0.000 0.750 Ac
0.989 0.348 0.418 Ac
0.329 0.000 0.250 Ac
0.663 0.348 0.918 Ac
0.663 0.989 0.418 Ac
0.011 0.337 0.082 Ac
0.337 0.652 0.082 Ac
0.011 0.652 0.582 Ac
0.337 0.011 0.582 Ac
0.333 0.333 0.171 Rh
0.667 0.667 0.829 Rh
0.667 0.667 0.329 Rh
0.333 0.333 0.671 Rh
0.667 0.667 0.004 Rh
0.667 0.667 0.504 Rh
0.333 0.333 0.496 Rh
0.333 0.333 0.996 Rh
0.000 0.000 0.338 Pt
0.000 0.000 0.162 Pt
0.000 0.000 0.662 Pt
0.000 0.000 0.838 Pt


11.
Ac5PtRh2 (PBE, optimized geometry); energy of formation = -0.65 eV per atom; SG = No. 63; VASP energy = -46.45 eV per formula unit
1.0
-5.359 2.494 -0.903
-0.366 -7.026 2.567
0.019 5.062 13.857
Ac Rh Pt
10 4 2
direct
0.665 0.330 0.563 Ac
0.053 0.106 0.118 Ac
0.053 0.106 0.382 Ac
0.335 0.670 0.063 Ac
0.947 0.894 0.618 Ac
0.335 0.670 0.437 Ac
0.757 0.515 0.250 Ac
0.665 0.330 0.937 Ac
0.243 0.485 0.750 Ac
0.947 0.894 0.882 Ac
0.149 0.298 0.943 Rh
0.851 0.702 0.443 Rh
0.851 0.702 0.057 Rh
0.149 0.298 0.557 Rh
0.777 0.554 0.750 Pt
0.223 0.446 0.250 Pt


12.
Ac3Pt7Rh2 (PBE, optimized geometry); energy of formation = -0.83 eV per atom; SG = No. 166; VASP energy = -79.24 eV per formula unit
1.0
5.299 0.000 1.659
2.390 4.729 1.659
-0.100 -0.062 9.614
Pt Rh Ac
7 2 3
direct
0.583 0.583 0.756 Pt
0.500 0.500 0.500 Pt
0.079 0.583 0.756 Pt
0.921 0.417 0.244 Pt
0.583 0.079 0.756 Pt
0.417 0.921 0.244 Pt
0.417 0.417 0.244 Pt
0.668 0.668 0.996 Rh
0.332 0.332 0.004 Rh
0.000 0.000 0.000 Ac
0.861 0.861 0.417 Ac
0.139 0.139 0.583 Ac